Density functional theory data (PBE) for Ac6InCoRh after structural relaxation.

Results
DFT formation energy ... -176 meV per atom
D(E_F) ... 12.756 states/eV/f.u.
VASP energy ... -43.43 eV for the cell shown

a = 7.5413 Å, b = 7.5413 Å, c = 7.3214 Å
α = 90.03°, β = 90.03°, γ = 120.05°
Closest atoms and distances in Å follow each position.
Atoms (fractional coordinates):
Ac  0.1301  0.1301  0.2683  1 Co 2.89, 1 Rh 2.97
Ac  0.1302  0.4880  0.7318  1 Co 2.89, 1 Rh 2.97
Ac  0.5125  0.1302  0.7319  1 Co 2.89, 1 Rh 2.97
Ac  0.5120  0.8698  0.2682  1 Co 2.89, 1 Rh 2.97
Ac  0.8698  0.4875  0.2681  1 Co 2.89, 1 Rh 2.97
Ac  0.8699  0.8699  0.7317  1 Co 2.89, 1 Rh 2.97
In  0.5041  0.4959  0.0000  6 Ac 3.41
Co  0.8375  0.1625  0.5000  6 Ac 2.89
Rh  0.1707  0.8293  0.5000  6 Ac 2.97